(1)
Na2SiB: relaxed, GGA-PBEsol.

Lattice parameters (Å, degrees): 10.658 10.658 3.695 90.00 90.00 90.00
Space group I4_1/amd (No. 141, origin choice 2)
One atom of each set of equivalent atoms:
1 Na 0.000 0.000 0.000
2 Si 0.000 0.250 0.375
3 B 0.000 0.250 0.875

Calculated values
uncorrected formation energy	0.39	eV/atom
crystal system	tetragonal
mass density	1.3	Mg/m³



(2)
NaSrB3: relaxed, GGA-PBEsol.

Lattice parameters (Å, degrees): 4.500 4.500 4.500 90.00 90.00 90.00
Space group Pm-3m (No. 221)
One atom of each set of equivalent atoms:
1 Na 0.000 0.000 0.000
2 Sr 0.500 0.500 0.500
3 B 0.000 0.000 0.500

Calculated values
crystal system	cubic
mass density	2.6	Mg/m³
final energy	-2.817	eV/atom



(3)
NaSrYB2: relaxed, GGA-PBEsol.

Lattice parameters (Å, degrees): 4.967 4.967 5.466 90.00 90.00 90.00
Space group P4/mmm (No. 123)
One atom of each set of equivalent atoms:
1 Na 0.000 0.000 0.000
2 Sr 0.500 0.500 0.500
3 Y 0.500 0.500 0.000
4 B 0.000 0.500 0.500

Calculated values
crystal system	tetragonal
mass density	2.7	Mg/m³
final energy	-2.749	eV/atom



(4)
NaB3Te: relaxed, GGA-PBEsol.

Lattice parameters (Å, degrees): 4.467 4.467 4.467 90.00 90.00 90.00
Space group Pm-3m (No. 221)
One atom of each set of equivalent atoms:
1 Na 0.000 0.000 0.000
2 B 0.000 0.000 0.500
3 Te 0.500 0.500 0.500

Calculated values
uncorrected formation energy	2.63	eV/atom
crystal system	cubic
mass density	3.4	Mg/m³



(5)
NaTiB3: relaxed, GGA-PBEsol.

Lattice parameters (Å, degrees): 3.981 3.981 3.981 90.00 90.00 90.00
Space group Pm-3m (No. 221)
One atom of each set of equivalent atoms:
1 Na 0.000 0.000 0.000
2 Ti 0.500 0.500 0.500
3 B 0.000 0.000 0.500

Calculated values
crystal system	cubic
mass density	2.7	Mg/m³
final energy	-3.771	eV/atom



(6)
Na2YB: relaxed, GGA-PBEsol.

Lattice parameters (Å, degrees): 3.874 3.874 23.191 90.00 90.00 90.00
Space group I-42d (No. 122)
One atom of each set of equivalent atoms:
1 Na 0.217 0.250 0.125
2 Y 0.000 0.000 0.500
3 B 0.000 0.000 0.000

Calculated values
crystal system	tetragonal
mass density	2.8	Mg/m³
final energy	-3.521	eV/atom



(7)
NbB2: relaxed, GGA-PBEsol.

Lattice parameters (Å, degrees): 3.1039 3.1039 3.3066 90.00 90.00 120.00
Space group P6/mmm (No. 191)
One atom of each set of equivalent atoms:
1 Nb 0.0000 0.0000 0.0000
2 B 0.3333 0.6667 0.5000

Calculated values
crystal system	hexagonal
mass density	6.9	Mg/m³
final energy	-9.052	eV/atom



(8)
Nb3B4: relaxed, GGA-PBEsol.

Lattice parameters (Å, degrees): 3.141 3.290 14.080 90.00 90.00 90.00
Space group Immm (No. 71)
One atom of each set of equivalent atoms:
1 Nb 0.000 0.000 0.000
2 Nb 0.000 0.500 0.315
3 B 0.000 0.000 0.436
4 B 0.000 0.500 0.132

Calculated values
crystal system	orthorhombic
mass density	7.3	Mg/m³
final energy	-9.478	eV/atom



(9)
Nb2B3: relaxed, GGA-PBEsol.

Lattice parameters (Å, degrees): 3.293 19.484 3.127 90.00 90.00 90.00
Space group Cmcm (No. 63)
One atom of each set of equivalent atoms:
1 Nb 0.000 0.069 0.250
2 Nb 0.000 0.203 0.750
3 B 0.000 0.335 0.750
4 B 0.000 0.384 0.250
5 B 0.000 0.477 0.250

Calculated values
crystal system	orthorhombic
mass density	7.2	Mg/m³
final energy	-9.357	eV/atom



(10)
Nb2NiB2: relaxed, GGA-PBEsol.

Lattice parameters (Å, degrees): 5.800 5.800 3.315 90.00 90.00 90.00
Space group P4/mbm (No. 127)
One atom of each set of equivalent atoms:
1 Nb 0.182 0.318 0.000
2 Ni 0.000 0.000 0.500
3 B 0.109 0.609 0.500

Calculated values
crystal system	tetragonal
mass density	7.9	Mg/m³
final energy	-8.998	eV/atom



(11)
Nb2Ni21B6: relaxed, GGA-PBEsol.

Lattice parameters (Å, degrees): 10.406 10.406 10.406 90.00 90.00 90.00
Space group Fm-3m (No. 225)
One atom of each set of equivalent atoms:
1 Nb 0.250 0.250 0.250
2 Ni 0.000 0.000 0.000
3 Ni 0.000 0.170 0.170
4 Ni 0.116 0.116 0.384
5 B 0.000 0.000 0.267

Calculated values
crystal system	cubic
mass density	8.7	Mg/m³
final energy	-7.016	eV/atom



(12)
NbB5O10: relaxed, GGA-PBEsol.

Lattice parameters (Å, degrees): 7.578 15.022 7.629 90.00 91.32 90.00
Space group P2_1/c (No. 14)
One atom of each set of equivalent atoms:
1 Nb 0.149 0.122 0.039
2 B 0.218 0.726 0.506
3 B 0.221 0.024 0.408
4 B 0.225 0.501 0.210
5 B 0.326 0.619 0.019
6 B 0.478 0.248 0.489
7 O 0.077 0.666 0.497
8 O 0.169 0.052 0.572
9 O 0.173 0.079 0.265
10 O 0.184 0.686 0.998
11 O 0.186 0.032 0.878
12 O 0.305 0.553 0.879
13 O 0.308 0.214 0.002
14 O 0.308 0.578 0.194
15 O 0.386 0.691 0.521
16 O 0.498 0.160 0.490

Calculated values
uncorrected formation energy	-2.34	eV/atom
crystal system	monoclinic
mass density	2.3	Mg/m³



(13)
Nb3BO: relaxed, GGA-PBEsol.

Lattice parameters (Å, degrees): 4.105 4.105 4.105 90.00 90.00 90.00
Space group Pm-3m (No. 221)
One atom of each set of equivalent atoms:
1 Nb 0.000 0.000 0.500
2 B 0.500 0.500 0.500
3 O 0.000 0.000 0.000

Calculated values
uncorrected formation energy	-0.23	eV/atom
crystal system	cubic
mass density	7.3	Mg/m³



(14)
Nb2BO: relaxed, GGA-PBEsol.

Lattice parameters (Å, degrees): 4.775 4.775 10.005 90.00 90.00 90.00
Space group I-42d (No. 122)
One atom of each set of equivalent atoms:
1 Nb 0.241 0.250 0.125
2 B 0.000 0.000 0.500
3 O 0.000 0.000 0.000

Calculated values
uncorrected formation energy	-0.58	eV/atom
crystal system	tetragonal
mass density	6.2	Mg/m³



(15)
NbBPO2: relaxed, GGA-PBEsol.

Lattice parameters (Å, degrees): 3.487 3.487 4.144 90.00 90.00 90.00
Space group P4/mmm (No. 123)
One atom of each set of equivalent atoms:
1 Nb 0.000 0.000 0.000
2 B 0.500 0.500 0.500
3 P 0.500 0.500 0.000
4 O 0.000 0.500 0.500

Calculated values
uncorrected formation energy	-0.27	eV/atom
crystal system	tetragonal
mass density	5.5	Mg/m³



(16)
NbSiB2O: relaxed, GGA-PBEsol.

Lattice parameters (Å, degrees): 3.654 3.654 4.109 90.00 90.00 90.00
Space group P4/mmm (No. 123)
One atom of each set of equivalent atoms:
1 Nb 0.000 0.000 0.000
2 Si 0.500 0.500 0.000
3 B 0.000 0.500 0.500
4 O 0.000 0.000 0.500

Calculated values
uncorrected formation energy	0.74	eV/atom
crystal system	tetragonal
mass density	4.8	Mg/m³



(17)
NbTlB2O6: relaxed, GGA-PBEsol.

Lattice parameters (Å, degrees): 7.795 7.462 9.469 90.00 90.00 90.00
Space group Pna2_1 (No. 33)
One atom of each set of equivalent atoms:
1 Nb 0.161 0.235 0.000
2 Tl 0.016 0.728 0.882
3 B 0.211 0.575 0.212
4 B 0.235 0.403 0.709
5 O 0.069 0.810 0.500
6 O 0.144 0.436 0.136
7 O 0.151 0.405 0.834
8 O 0.214 0.742 0.144
9 O 0.226 0.058 0.142
10 O 0.233 0.054 0.847

Calculated values
uncorrected formation energy	-2.24	eV/atom
crystal system	orthorhombic
mass density	5.0	Mg/m³



(18)
Nb2B2Os: relaxed, GGA-PBEsol.

Lattice parameters (Å, degrees): 5.844 5.844 3.482 90.00 90.00 90.00
Space group P4/mbm (No. 127)
One atom of each set of equivalent atoms:
1 Nb 0.176 0.324 0.000
2 B 0.115 0.615 0.500
3 Os 0.000 0.000 0.500

Calculated values
ΔE to the lowest computed polymorph	0.06	eV/f.u.
crystal system	tetragonal
mass density	11.1	Mg/m³



(19)
Nb2B2Os: relaxed, GGA-PBEsol.

Lattice parameters (Å, degrees): 3.656 3.656 9.527 90.00 90.00 90.00
Space group I4/mmm (No. 139)
One atom of each set of equivalent atoms:
1 Nb 0.000 0.500 0.250
2 B 0.000 0.000 0.083
3 Os 0.000 0.000 0.500

Calculated values
ΔE to the lowest computed polymorph	5.12	eV/f.u.
crystal system	tetragonal
mass density	10.4	Mg/m³



no.,spin magnetization (Bohr magnetons per cell)
1,0.0
2,0.0
3,0.0
4,0.0
5,0.0
6,0.0
7,0.0
8,0.0
9,0.0
10,0.0
11,0.0
12,0.1
13,0.0
14,0.0
15,0.0
16,0.0
17,0.0
18,0.0
19,0.0